# 1
DFT (PBE) results for a relaxed In2GaI6 crystal.

Its volume is 54.09 Å³/atom. Its space group is C2/c, No. 15. The crystal system is monoclinic. The value obtained for the calculated total energy is -2.38 eV/atom.

a = 9.1975 Å, b = 10.7030 Å, c = 10.7030 Å
α = 83.63°, β = 74.08°, γ = 74.08°
With the nearest neighbours (Å) after each atom.
Atoms (fractional coordinates):
In (0.2551, 0.6084, 0.8109)  4 I 2.81-2.92
In (0.2449, 0.1891, 0.3916)  4 I 2.81-2.92
In (0.7449, 0.3916, 0.1891)  4 I 2.81-2.92
In (0.7551, 0.8109, 0.6084)  4 I 2.81-2.92
Ga (0.2500, 0.0890, 0.9110)  6 I 3.18-3.45
Ga (0.7500, 0.9110, 0.0890)  6 I 3.18-3.45
I (0.5520, 0.6379, 0.6395)  2 In 2.91-2.92
I (0.9480, 0.3605, 0.3621)  2 In 2.91-2.92
I (0.4480, 0.3621, 0.3605)  2 In 2.91-2.92
I (0.0520, 0.6395, 0.6379)  2 In 2.91-2.92
I (0.7993, 0.9442, 0.3646)  1 In 2.81
I (0.7007, 0.6354, 0.0558)  1 In 2.81
I (0.2007, 0.0558, 0.6354)  1 In 2.81
I (0.2993, 0.3646, 0.9442)  1 In 2.81
I (0.1432, 0.8003, 0.9973)  1 In 2.81
I (0.3568, 0.0027, 0.1997)  1 In 2.81
I (0.8568, 0.1997, 0.0027)  1 In 2.81
I (0.6432, 0.9973, 0.8003)  1 In 2.81

# 2
DFT (PBE) results for a relaxed Er2AlPd2 crystal.

Its volume is 20.87 Å³/atom. Its space group is P4/mnc, No. 128. The formation energy is -4.20 eV/f.u. The crystal system is tetragonal. The value obtained for the calculated total energy is -5.49 eV/atom.

a = 7.4321 Å, b = 7.4321 Å, c = 7.5559 Å
α = 90.00°, β = 90.00°, γ = 90.00°
With the nearest neighbours (Å) after each atom.
Atoms (fractional coordinates):
Er (0.6734, 0.8261, 0.5000)  6 Pd 2.77-2.98
Er (0.3266, 0.1739, 0.5000)  6 Pd 2.77-2.98
Er (0.8266, 0.3261, 0.0000)  6 Pd 2.77-2.98
Er (0.1734, 0.6739, 0.0000)  6 Pd 2.77-2.98
Er (0.8261, 0.3266, 0.5000)  6 Pd 2.77-2.98
Er (0.1739, 0.6734, 0.5000)  6 Pd 2.77-2.98
Er (0.3261, 0.1734, 0.0000)  6 Pd 2.77-2.98
Er (0.6739, 0.8266, 0.0000)  6 Pd 2.77-2.98
Al (0.5000, 0.5000, 0.2483)  4 Pd 2.90
Al (0.0000, 0.0000, 0.7483)  4 Pd 2.90
Al (0.5000, 0.5000, 0.7517)  4 Pd 2.90
Al (0.0000, 0.0000, 0.2517)  4 Pd 2.90
Pd (0.3664, 0.8664, 0.2500)  6 Er 2.77-2.98, 1 Pd 2.81, 2 Al 2.90
Pd (0.6336, 0.1336, 0.2500)  6 Er 2.77-2.98, 1 Pd 2.81, 2 Al 2.90
Pd (0.1336, 0.3664, 0.7500)  6 Er 2.77-2.98, 1 Pd 2.81, 2 Al 2.90
Pd (0.8664, 0.6336, 0.7500)  6 Er 2.77-2.98, 1 Pd 2.81, 2 Al 2.90
Pd (0.8664, 0.6336, 0.2500)  6 Er 2.77-2.98, 1 Pd 2.81, 2 Al 2.90
Pd (0.1336, 0.3664, 0.2500)  6 Er 2.77-2.98, 1 Pd 2.81, 2 Al 2.90
Pd (0.3664, 0.8664, 0.7500)  6 Er 2.77-2.98, 1 Pd 2.81, 2 Al 2.90
Pd (0.6336, 0.1336, 0.7500)  6 Er 2.77-2.98, 1 Pd 2.81, 2 Al 2.90

# 3
DFT (PBE) results for a relaxed V4Co2Ir crystal.

Its volume is 17.22 Å³/atom. Its space group is I4/mmm, No. 139. The formation energy is 6.58 eV/f.u. The crystal system is tetragonal. The value obtained for the calculated total energy is -7.57 eV/atom.

a = 4.5542 Å, b = 4.5542 Å, c = 6.6429 Å
α = 69.95°, β = 69.95°, γ = 90.00°
With the nearest neighbours (Å) after each atom.
Atoms (fractional coordinates):
Ir (0.0000, 0.0000, 0.0000)  6 V 2.28-2.44
Co (0.3964, 0.3964, 0.2073)  1 V 2.16, 1 Co 2.41
Co (0.6036, 0.6036, 0.7927)  1 V 2.16, 1 Co 2.41
V (0.2103, 0.2103, 0.5794)  1 Co 2.16
V (0.7897, 0.7897, 0.4206)  1 Co 2.16
V (0.0000, 0.5000, 0.0000)  2 Ir 2.28
V (0.5000, 0.0000, 0.0000)  2 Ir 2.28

# 4
DFT (PBE) results for a relaxed Hf2ScI8 crystal.

Its volume is 49.23 Å³/atom. Its space group is C2/m, No. 12. The crystal system is monoclinic. The value obtained for the calculated total energy is -4.27 eV/atom.

a = 6.8419 Å, b = 8.9264 Å, c = 8.9264 Å
α = 84.15°, β = 92.35°, γ = 92.35°
With the nearest neighbours (Å) after each atom.
Atoms (fractional coordinates):
Hf (0.6677, 0.8294, 0.8294)  4 I 2.70-2.79
Hf (0.3323, 0.1706, 0.1706)  4 I 2.70-2.79
Sc (0.0000, 0.0000, 0.0000)  6 I 3.03-3.08, 2 Hf 3.12
I (0.2315, 0.2887, 0.8851)  1 Hf 2.73
I (0.7685, 0.1149, 0.7113)  1 Hf 2.73
I (0.2597, 0.8217, 0.8217)  1 Hf 2.79, 1 Sc 3.03
I (0.7403, 0.1783, 0.1783)  1 Hf 2.79, 1 Sc 3.03
I (0.2315, 0.8851, 0.2887)  1 Hf 2.73
I (0.7685, 0.7113, 0.1149)  1 Hf 2.73
I (0.7634, 0.6347, 0.6347)  1 Hf 2.70
I (0.2366, 0.3653, 0.3653)  1 Hf 2.70

# 5
DFT (PBE) results for a relaxed Ag2HgS crystal.

Its volume is 21.88 Å³/atom. Its space group is R-3m, No. 166. The crystal system is trigonal. The value obtained for the calculated total energy is -2.44 eV/atom.

a = 4.0781 Å, b = 4.0781 Å, c = 6.5160 Å
α = 71.76°, β = 71.76°, γ = 60.00°
With the nearest neighbours (Å) after each atom.
Atoms (fractional coordinates):
S (0.0000, 0.0000, 0.0000)  6 Ag 2.64
Hg (0.5000, 0.5000, 0.5000)  6 Ag 2.99
Ag (0.2676, 0.2676, 0.1973)  3 S 2.64
Ag (0.7324, 0.7324, 0.8027)  3 S 2.64

# 6
DFT (PBE) results for a relaxed Sb2MoRh crystal.

Its volume is 21.92 Å³/atom. Its space group is R3m, No. 160. The crystal system is trigonal. The value obtained for the calculated total energy is -6.39 eV/atom.

a = 10.6945 Å, b = 10.6945 Å, c = 10.6945 Å
α = 16.66°, β = 16.66°, γ = 16.66°
With the nearest neighbours (Å) after each atom.
Atoms (fractional coordinates):
Mo (0.4903, 0.4903, 0.4903)  3 Rh 2.76, 3 Sb 2.86
Rh (0.7573, 0.7573, 0.7573)  3 Sb 2.74, 3 Mo 2.76
Sb (0.0248, 0.0248, 0.0248)  3 Rh 2.74
Sb (0.2276, 0.2276, 0.2276)  3 Mo 2.86, 6 Sb 3.10

# 7
DFT (PBE) results for a relaxed BaSrOsO6 crystal.

Its volume is 18.04 Å³/atom. Its space group is P312, No. 149. The crystal system is trigonal. The value obtained for the calculated total energy is -6.80 eV/atom.

a = 5.8834 Å, b = 5.8836 Å, c = 5.4159 Å
α = 90.00°, β = 90.00°, γ = 59.99°
With the nearest neighbours (Å) after each atom.
Atoms (fractional coordinates):
Ba (0.9999, 0.0000, 0.0000)  6 O 2.74
Sr (0.6666, 0.6667, 0.5000)  6 O 2.45
Os (0.3333, 0.3333, 0.5000)  6 O 1.88
O (0.0716, 0.3336, 0.3008)  1 Os 1.88
O (0.3336, 0.0716, 0.6993)  1 Os 1.88
O (0.5947, 0.3337, 0.6993)  1 Os 1.88
O (0.0715, 0.5949, 0.6992)  1 Os 1.88
O (0.3337, 0.5947, 0.3007)  1 Os 1.88
O (0.5948, 0.0715, 0.3008)  1 Os 1.88

# 8
DFT (PBE) results for a relaxed Tc3IrSe crystal.

Its volume is 17.75 Å³/atom. Its space group is Pm-3m, No. 221. The crystal system is cubic. The value obtained for the calculated total energy is -7.33 eV/atom.

a = 4.4607 Å, b = 4.4607 Å, c = 4.4607 Å
α = 90.00°, β = 90.00°, γ = 90.00°
With the nearest neighbours (Å) after each atom.
Atoms (fractional coordinates):
Ir (0.5000, 0.5000, 0.5000)  12 Tc 3.15
Tc (0.0000, 0.5000, 0.0000)  2 Se 2.23
Tc (0.0000, 0.0000, 0.5000)  2 Se 2.23
Tc (0.5000, 0.0000, 0.0000)  2 Se 2.23
Se (0.0000, 0.0000, 0.0000)  6 Tc 2.23

Question: The lowest calculated total energy belongs to which entry?
Answer: V4Co2Ir

Question: calculated total energy of number 5 (Ag2HgS)?
Answer: -2.44 eV/atom